1.
First-principles (PBE) data for crystalline Ba2Al4CdAu3 at its relaxed geometry, as listed in Alexandria.

The structure belongs to space group P-4m2 (No. 115); the cell edges are 4.6478, 4.6478 and 10.9740 Å and the angles 90.00°, 90.00° and 90.00°. The distinct sites, in fractional coordinates, are Ba at (0.0000, 0.5000, 0.2469), Al at (0.0000, 0.0000, 0.0000), Al at (0.0000, 0.5000, 0.6363), Al at (0.5000, 0.5000, 0.0000), Cd at (0.0000, 0.0000, 0.5000), Au at (0.0000, 0.5000, 0.8798) and Au at (0.5000, 0.5000, 0.5000).

The value obtained for the electronic total energy is -34.59 eV per formula unit. Its theoretical density is 7.606 g cm⁻³. The crystal system is tetragonal. The density of states at the Fermi level is 0.474 states/eV per atom.

***

2.
First-principles (PBE) data for crystalline Ba2AlCd6Au at its relaxed geometry, as listed in Alexandria.

The structure belongs to space group P-1 (No. 2); the cell edges are 7.3860, 7.3932 and 7.5485 Å and the angles 60.93°, 61.02° and 60.09°. The distinct sites, in fractional coordinates, are Ba at (0.2085, 0.2071, 0.3739), Al at (0.5000, 0.5000, 0.5000), Cd at (0.2479, 0.2524, 0.8378), Cd at (0.2498, 0.6592, 0.8412), Cd at (0.3406, 0.7520, 0.1596) and Au at (0.0000, 0.0000, 0.0000).

The value obtained for the electronic total energy is -18.44 eV per formula unit. Its theoretical density is 6.583 g cm⁻³. The crystal system is triclinic. The density of states at the Fermi level is 0.525 states/eV per atom.

***

3.
First-principles (PBE) data for crystalline Ba2AlCdAu at its relaxed geometry, as listed in Alexandria.

The structure belongs to space group P4/mmm (No. 123); the cell edges are 6.3899, 6.3899 and 4.8626 Å and the angles 90.00°, 90.00° and 90.00°. The distinct sites, in fractional coordinates, are Ba at (0.0000, 0.5000, 0.0000), Al at (0.0000, 0.0000, 0.5000), Cd at (0.5000, 0.5000, 0.5000) and Au at (0.0000, 0.0000, 0.0000).

The value obtained for the electronic total energy is -13.25 eV per formula unit. Its theoretical density is 5.110 g cm⁻³. The crystal system is tetragonal. The density of states at the Fermi level is 0.724 states/eV per atom.

***

4.
First-principles (PBE) data for crystalline Ba2Al3CdAu4 at its relaxed geometry, as listed in Alexandria.

The structure belongs to space group P-4m2 (No. 115); the cell edges are 4.7255, 4.7255 and 10.8197 Å and the angles 90.00°, 90.00° and 90.00°. The distinct sites, in fractional coordinates, are Ba at (0.0000, 0.5000, 0.2464), Al at (0.0000, 0.5000, 0.8866), Al at (0.5000, 0.5000, 0.5000), Cd at (0.0000, 0.0000, 0.5000), Au at (0.0000, 0.0000, 0.0000), Au at (0.0000, 0.5000, 0.6428) and Au at (0.5000, 0.5000, 0.0000).

The value obtained for the electronic total energy is -34.63 eV per formula unit. Its theoretical density is 8.632 g cm⁻³. The crystal system is tetragonal. The density of states at the Fermi level is 0.817 states/eV per atom.

***

5.
First-principles (PBE) data for crystalline BaAlCdAu2 at its relaxed geometry, as listed in Alexandria.

The structure belongs to space group I-4m2 (No. 119); the cell edges are 4.5716, 4.5716 and 12.0952 Å and the angles 90.00°, 90.00° and 90.00°. The distinct sites, in fractional coordinates, are Ba at (0.0000, 0.0000, 0.0000), Al at (0.0000, 0.5000, 0.2500), Cd at (0.0000, 0.5000, 0.7500) and Au at (0.0000, 0.0000, 0.3793).

The value obtained for the electronic total energy is -15.66 eV per formula unit. The energy above the most stable polymorph in this dataset is 0.000 eV per atom. Its theoretical density is 8.811 g cm⁻³. The crystal system is tetragonal. The density of states at the Fermi level is 0.512 states/eV per atom.

***

6.
First-principles (PBE) data for crystalline Ba2AlCuAu6 at its relaxed geometry, as listed in Alexandria.

The structure belongs to space group C2/m (No. 12); the cell edges are 10.0655, 10.0802 and 7.1234 Å and the angles 90.00°, 134.83° and 90.00°. The distinct sites, in fractional coordinates, are Ba at (0.0000, 0.2500, 0.0000), Al at (0.0000, 0.0000, 0.5000), Cu at (0.0000, 0.5000, 0.5000), Au at (0.0000, 0.2502, 0.5000), Au at (0.2501, 0.0000, 0.0004) and Au at (0.2503, 0.0000, 0.5000).

The value obtained for the electronic total energy is -35.82 eV per formula unit. Its theoretical density is 10.023 g cm⁻³. The crystal system is monoclinic. The density of states at the Fermi level is 0.362 states/eV per atom.

***

7.
First-principles (PBE) data for crystalline Ba2Al4CuAu3 at its relaxed geometry, as listed in Alexandria.

The structure belongs to space group P-4m2 (No. 115); the cell edges are 4.6181, 4.6181 and 10.6954 Å and the angles 90.00°, 90.00° and 90.00°. The distinct sites, in fractional coordinates, are Ba at (0.0000, 0.5000, 0.2468), Al at (0.0000, 0.0000, 0.5000), Al at (0.0000, 0.5000, 0.8845), Al at (0.5000, 0.5000, 0.5000), Cu at (0.5000, 0.5000, 0.0000), Au at (0.0000, 0.0000, 0.0000) and Au at (0.0000, 0.5000, 0.6270).

The value obtained for the electronic total energy is -37.63 eV per formula unit. Its theoretical density is 7.549 g cm⁻³. The crystal system is tetragonal. The density of states at the Fermi level is 0.686 states/eV per atom.

***

8.
First-principles (PBE) data for crystalline BaAlCuAu6 at its relaxed geometry, as listed in Alexandria.

The structure belongs to space group Imma (No. 74); the cell edges are 7.3075, 8.6219 and 14.2889 Å and the angles 90.00°, 90.00° and 90.00°. The distinct sites, in fractional coordinates, are Ba at (0.0000, 0.2500, 0.0990), Al at (0.0000, 0.0000, 0.5000), Cu at (0.2500, 0.2500, 0.7500), Au at (0.0000, 0.2500, 0.3982), Au at (0.0000, 0.2500, 0.8716) and Au at (0.2033, 0.0209, 0.6453).

The value obtained for the electronic total energy is -31.00 eV per formula unit. Its theoretical density is 10.400 g cm⁻³. The crystal system is orthorhombic. The density of states at the Fermi level is 0.280 states/eV per atom.

***

9.
First-principles (PBE) data for crystalline Ba2Al4GaAu3 at its relaxed geometry, as listed in Alexandria.

The structure belongs to space group P-4m2 (No. 115); the cell edges are 4.6567, 4.6567 and 10.6788 Å and the angles 90.00°, 90.00° and 90.00°. The distinct sites, in fractional coordinates, are Ba at (0.0000, 0.5000, 0.2470), Al at (0.0000, 0.0000, 0.5000), Al at (0.0000, 0.5000, 0.8717), Al at (0.5000, 0.5000, 0.5000), Ga at (0.5000, 0.5000, 0.0000), Au at (0.0000, 0.0000, 0.0000) and Au at (0.0000, 0.5000, 0.6217).

The value obtained for the electronic total energy is -37.09 eV per formula unit. Its theoretical density is 7.481 g cm⁻³. The crystal system is tetragonal. The density of states at the Fermi level is 0.622 states/eV per atom.

***

10.
First-principles (PBE) data for crystalline BaAlGaAu2 at its relaxed geometry, as listed in Alexandria.

The structure belongs to space group I-4m2 (No. 119); the cell edges are 4.5471, 4.5471 and 11.4787 Å and the angles 90.00°, 90.00° and 90.00°. The distinct sites, in fractional coordinates, are Ba at (0.0000, 0.0000, 0.0000), Al at (0.0000, 0.5000, 0.2500), Ga at (0.0000, 0.5000, 0.7500) and Au at (0.0000, 0.0000, 0.3677).

The value obtained for the electronic total energy is -18.13 eV per formula unit. Its theoretical density is 8.787 g cm⁻³. The crystal system is tetragonal. The density of states at the Fermi level is 0.742 states/eV per atom.

***

11.
First-principles (PBE) data for crystalline Ba2AlGa2Au4 at its relaxed geometry, as listed in Alexandria.

The structure belongs to space group I4/mmm (No. 139); the cell edges are 7.0593, 7.0593 and 9.1162 Å and the angles 90.00°, 90.00° and 90.00°. The distinct sites, in fractional coordinates, are Ba at (0.0000, 0.5000, 0.2500), Al at (0.0000, 0.0000, 0.0000), Ga at (0.0000, 0.0000, 0.3393) and Au at (0.2385, 0.2385, 0.5000).

The value obtained for the electronic total energy is -31.43 eV per formula unit. Its theoretical density is 8.984 g cm⁻³. The crystal system is tetragonal. The density of states at the Fermi level is 0.416 states/eV per atom.

***

12.
First-principles (PBE) data for crystalline Ba2AlGaAu6 at its relaxed geometry, as listed in Alexandria.

The structure belongs to space group P-1 (No. 2); the cell edges are 6.6706, 7.0786 and 7.1189 Å and the angles 65.67°, 62.25° and 61.91°. The distinct sites, in fractional coordinates, are Ba at (0.2488, 0.1793, 0.3230), Al at (0.0000, 0.0000, 0.0000), Ga at (0.5000, 0.5000, 0.5000), Au at (0.2042, 0.2927, 0.7976), Au at (0.2490, 0.6674, 0.8346) and Au at (0.2976, 0.7104, 0.1996).

The value obtained for the electronic total energy is -35.94 eV per formula unit. Its theoretical density is 10.140 g cm⁻³. The crystal system is triclinic. The density of states at the Fermi level is 0.441 states/eV per atom.

***

- Among the records above, which one has the highest electronic total energy?
  Ba2AlCdAu

***

- electronic total energy of number 4 (Ba2Al3CdAu4)?
  -34.63 eV per formula unit